# 1
Compound: SiNiSb2
Source: the Alexandria database
Functional: PBE
Structure: optimized geometry

a = 4.9020 Å, b = 4.9020 Å, c = 3.2638 Å
α = 90.00°, β = 90.00°, γ = 97.40°
With the nearest neighbours (Å) after each atom.
Atoms (fractional coordinates):
Ni  0.0000  0.5000  0.5000  8 Sb 2.94, 2 Si 3.24, 2 Ni 3.26
Sb  0.0000  0.0000  0.0000  4 Ni 2.94, 4 Si 2.94, 4 Sb 3.24-3.26
Sb  0.5000  0.5000  0.0000  4 Si 2.94, 4 Ni 2.94, 4 Sb 3.24-3.26
Si  0.5000  0.0000  0.5000  8 Sb 2.94, 2 Ni 3.24, 2 Si 3.26

Computed properties:
The symmetry is No. 65. The value obtained for the raw total energy is -0.3271 Ry per atom. The calculated volume comes out at 19.44 Å³ per atom. The calculation puts the total moment at 0.00 Bohr magnetons per cell.


# 2
Compound: SiNiSb2
Source: the Alexandria database
Functional: PBE
Structure: optimized geometry

a = 4.1422 Å, b = 4.1422 Å, c = 6.2478 Å
α = 76.72°, β = 76.72°, γ = 53.30°
With the nearest neighbours (Å) after each atom.
Atoms (fractional coordinates):
Ni  0.7581  0.7581  0.6711  3 Si 2.30-2.41
Sb  0.0101  0.0101  0.9160  3 Ni 2.70-2.78, 2 Si 2.81
Sb  0.2606  0.2606  0.3192  1 Si 2.60, 2 Ni 2.88
Si  0.4713  0.4713  0.5937  3 Ni 2.30-2.41

Computed properties:
The symmetry is No. 8. The value obtained for the raw total energy is -0.3566 Ry per atom. The calculated volume comes out at 20.77 Å³ per atom. The calculation puts the total moment at 0.00 Bohr magnetons per cell.